Computed, not measured: HgPb4Au after structural relaxation at the PBE-GGA level of DFT.

Unit cell a=6.410 b=6.410 c=6.410 alpha=60.00 beta=60.00 gamma=60.00
Atoms (fractional coordinates):
1 Au 0.750 0.750 0.750
2 Pb 0.375 0.375 0.375
3 Pb 0.375 0.375 0.874
4 Pb 0.375 0.874 0.375
5 Hg 0.000 0.000 0.000
6 Pb 0.874 0.375 0.375

The value obtained for the density of states at the Fermi level is 0.3514 states/eV per atom. The offset from the most stable computed form is 0.315 eV per atom. The energy of formation comes out at 28.9 kJ per mole of atoms. The electronic total energy is -16.62 eV per cell.